# 1
VASP calculation (PBE) on a relaxed structure of Li2MgTl5.

Cell lengths 5.1106, 7.0395, 12.4512 Å; angles 90.00, 90.00, 111.28 degrees
Fractional positions:
Tl1 0.6716 0.3431 0.9650
Tl2 0.3284 0.6569 0.4650
Tl3 0.3284 0.6569 0.0350
Tl4 0.9270 0.8540 0.8845
Tl5 0.3168 0.6336 0.7500
Tl6 0.0730 0.1460 0.3845
Tl7 0.6716 0.3431 0.5350
Tl8 0.0730 0.1460 0.1155
Tl9 0.6832 0.3664 0.2500
Tl10 0.9270 0.8540 0.6155
Li1 0.8580 0.7159 0.3731
Li2 0.8580 0.7159 0.1269
Li3 0.1420 0.2841 0.8731
Li4 0.1420 0.2841 0.6269
Mg1 0.4477 0.8954 0.2500
Mg2 0.5523 0.1046 0.7500

Results
Relative energy among the computed polymorphs in eV per formula unit: 0.42
E_form in meV per atom: -28
ρ in kg/m3: 8435
Total energy in eV for the cell shown: -34.953



# 2
VASP calculation (PBE) on a relaxed structure of Tb3Pr4Tm4.

Cell lengths 5.6942, 6.6519, 10.7286 Å; angles 90.00, 90.00, 115.34 degrees
Fractional positions:
Tb1 0.4127 0.8255 0.7145
Tb2 0.4127 0.8255 0.2855
Tb3 0.2534 0.5068 0.0000
Pr1 0.7549 0.5098 0.2095
Pr2 0.9600 0.9200 0.0000
Pr3 0.7549 0.5098 0.7905
Pr4 0.8800 0.7600 0.5000
Tm1 0.6061 0.2121 0.5000
Tm2 0.1048 0.2095 0.3051
Tm3 0.1048 0.2095 0.6949
Tm4 0.5543 0.1085 0.0000

Results
Relative energy among the computed polymorphs in eV per formula unit: 1.47
E_form in meV per atom: 153
ρ in kg/m3: 7759
Total energy in eV for the cell shown: -49.207



# 3
VASP calculation (PBE) on a relaxed structure of LiTlRe.

Cell lengths 7.2625, 7.2625, 7.2625 Å; angles 157.85, 157.85, 31.53 degrees
Fractional positions:
Li1 0.0104 0.0104 0.0000
Tl1 0.3325 0.3325 0.0000
Re1 0.6571 0.6571 0.0000

Results
Relative energy among the computed polymorphs in eV per formula unit: 0.13
E_form in meV per atom: 656
ρ in kg/m3: 12128
Total energy in eV for the cell shown: -14.762



# 4
VASP calculation (PBE) on a relaxed structure of KCa2Ni.

Cell lengths 5.6635, 5.6635, 5.6635 Å; angles 60.00, 60.00, 60.00 degrees
Fractional positions:
Ca1 0.2500 0.2500 0.2500
Ca2 0.0000 0.0000 0.0000
K1 0.5000 0.5000 0.5000
Ni1 0.7500 0.7500 0.7500

Results
Relative energy among the computed polymorphs in eV per formula unit: 1.91
E_form in meV per atom: 541
ρ in kg/m3: 2300
Total energy in eV for the cell shown: -8.719



# 5
VASP calculation (PBE) on a relaxed structure of CuRe2Pb2.

Cell lengths 6.6581, 6.6581, 4.4234 Å; angles 90.00, 90.00, 90.00 degrees
Fractional positions:
Pb1 0.1782 0.6782 0.5000
Pb2 0.6782 0.8218 0.5000
Pb3 0.8218 0.3218 0.5000
Pb4 0.3218 0.1782 0.5000
Re1 0.3711 0.8711 0.0000
Re2 0.6289 0.1289 0.0000
Re3 0.1289 0.3711 0.0000
Re4 0.8711 0.6289 0.0000
Cu1 0.0000 0.0000 0.0000
Cu2 0.5000 0.5000 0.0000

Results
Relative energy among the computed polymorphs in eV per formula unit: 0.00
E_form in meV per atom: 820
ρ in kg/m3: 14402
Total energy in eV for the cell shown: -64.619



# 6
VASP calculation (PBE) on a relaxed structure of MgCrNi2.

Cell lengths 4.6134, 4.6134, 4.4802 Å; angles 78.55, 78.55, 32.94 degrees
Fractional positions:
Ni1 0.0116 0.0116 0.0171
Ni2 0.7438 0.7438 0.7163
Cr1 0.4860 0.4860 0.5553
Mg1 0.2585 0.2585 0.2113

Results
E_form in meV per atom: 102
ρ in kg/m3: 6341
Total energy in eV for the cell shown: -22.372



# 7
VASP calculation (PBE) on a relaxed structure of Ta2BeTlSe.

Cell lengths 4.8773, 4.0773, 4.8773 Å; angles 90.00, 90.00, 90.00 degrees
Fractional positions:
Tl1 0.5000 0.5000 0.5000
Ta1 0.5000 0.0000 0.0000
Ta2 0.0000 0.0000 0.5000
Se1 0.0000 0.0000 0.0000
Be1 0.0000 0.5000 0.0000

Results
E_form (uncorrected) in eV/atom: 0.94
ρ in kg/m3: 11201
Total energy in eV for the cell shown: -28.601



# 8
VASP calculation (PBE) on a relaxed structure of Np5Sb2S12.

Cell lengths 7.5702, 8.1961, 9.3957 Å; angles 107.88, 90.00, 117.50 degrees
Fractional positions:
Sb1 0.2480 0.0000 0.0000
Sb2 0.7520 0.0000 0.0000
S1 0.4578 0.3886 0.1562
S2 0.3664 0.2682 0.4994
S3 0.9018 0.2682 0.4994
S4 0.5422 0.6114 0.8438
S5 0.4750 0.9501 0.1736
S6 0.0692 0.6114 0.8438
S7 0.0822 0.1643 0.8182
S8 0.5250 0.0499 0.8264
S9 0.9308 0.3886 0.1562
S10 0.6336 0.7318 0.5006
S11 0.9178 0.8357 0.1818
S12 0.0982 0.7318 0.5006
Np1 0.0000 0.0000 0.5000
Np2 0.7345 0.4690 0.9724
Np3 0.7133 0.4266 0.3948
Np4 0.2867 0.5734 0.6052
Np5 0.2655 0.5310 0.0276

Results
E_form (uncorrected) in eV/atom: -0.97
ρ in kg/m3: 6207
Total energy in eV for the cell shown: -140.825



# 9
VASP calculation (PBE) on a relaxed structure of DyNiGe2.

Cell lengths 4.1022, 4.1688, 8.6355 Å; angles 90.00, 103.74, 90.00 degrees
Fractional positions:
Ge1 0.0413 0.2500 0.0826
Ge2 0.7513 0.2500 0.5026
Ge3 0.2487 0.7500 0.4974
Ge4 0.9587 0.7500 0.9174
Dy1 0.6083 0.7500 0.2166
Dy2 0.3917 0.2500 0.7834
Ni1 0.8218 0.7500 0.6436
Ni2 0.1782 0.2500 0.3564

Results
E_form in meV per atom: -703
ρ in kg/m3: 8484
Total energy in eV for the cell shown: -44.861



# 10
VASP calculation (PBE) on a relaxed structure of SmEu2Ir.

Cell lengths 3.8148, 3.8148, 10.8296 Å; angles 79.86, 79.86, 60.00 degrees
Fractional positions:
Eu1 0.8892 0.8892 0.3323
Eu2 0.1108 0.1108 0.6677
Sm1 0.0000 0.0000 0.0000
Ir1 0.5000 0.5000 0.5000

Results
E_form in meV per atom: 103
ρ in kg/m3: 8034
Total energy in eV for the cell shown: -33.716



# 11
VASP calculation (PBE) on a relaxed structure of MgNbH.

Cell lengths 4.4844, 4.4844, 5.5489 Å; angles 90.00, 90.00, 120.00 degrees
Fractional positions:
Mg1 0.6667 0.3333 0.2500
Mg2 0.3333 0.6667 0.7500
H1 0.0000 0.0000 0.7500
H2 0.0000 0.0000 0.2500
Nb1 0.3333 0.6667 0.2500
Nb2 0.6667 0.3333 0.7500

Results
Relative energy among the computed polymorphs in eV per formula unit: 4.32
ρ in kg/m3: 4063
Total energy in eV for the cell shown: -21.996



# 12
VASP calculation (PBE) on a relaxed structure of LiSiP2O.

Cell lengths 4.6178, 4.6178, 3.2381 Å; angles 90.00, 90.00, 90.00 degrees
Fractional positions:
Li1 0.0000 0.0000 0.0000
Si1 0.5000 0.5000 0.5000
P1 0.0000 0.5000 0.0000
P2 0.5000 0.0000 0.0000
O1 0.0000 0.0000 0.5000

Results
Relative energy among the computed polymorphs in eV per formula unit: 4.27
E_form (uncorrected) in eV/atom: 0.54
ρ in kg/m3: 2717
Total energy in eV for the cell shown: -20.394



| no. | M_tot (μB per cell) |
| --- | --- |
| 1 | 0.0 |
| 2 | 0.0 |
| 3 | 0.0 |
| 4 | 0.0 |
| 5 | 0.0 |
| 6 | 1.8 |
| 7 | 0.0 |
| 8 | 17.0 |
| 9 | 0.0 |
| 10 | 14.0 |
| 11 | 0.0 |
| 12 | 0.0 |